# GGA-PBE BeZnCo2Au, optimized geometry
# formation energy from the elements = 1.486 eV/atom
# E_tot = -3.01 eV per atom
data_BeZnCo2Au
_chemical_formula_sum 'Be1 Zn1 Co2 Au1'
_space_group_name_H-M_alt 'P 4/m m m'
_space_group_IT_number 123
_space_group_name_Hall '-P 4 2'
_cell_length_a 4.7341
_cell_length_b 4.7341
_cell_length_c 4.7374
_cell_angle_alpha 90.00
_cell_angle_beta 90.00
_cell_angle_gamma 90.00
loop_
_atom_site_label
_atom_site_fract_x
_atom_site_fract_y
_atom_site_fract_z
Be1 0.0000 0.0000 0.0000
Zn1 0.5000 0.5000 0.0000
Co1 0.0000 0.5000 0.5000
Au1 0.5000 0.5000 0.5000

# GGA-PBE Be3CrAu, optimized geometry
# formation energy from the elements = 0.734 eV/atom
# E_tot = -4.08 eV per atom
# E above lowest polymorph = 0.000 eV/atom
data_Be3CrAu
_chemical_formula_sum 'Be3 Cr1 Au1'
_space_group_name_H-M_alt 'P m -3 m'
_space_group_IT_number 221
_space_group_name_Hall '-P 4 2 3'
_cell_length_a 4.3041
_cell_length_b 4.3041
_cell_length_c 4.3041
_cell_angle_alpha 90.00
_cell_angle_beta 90.00
_cell_angle_gamma 90.00
loop_
_atom_site_label
_atom_site_fract_x
_atom_site_fract_y
_atom_site_fract_z
Be1 0.0000 0.0000 0.5000
Cr1 0.5000 0.5000 0.5000
Au1 0.0000 0.0000 0.0000

# GGA-PBE BeCrAu, optimized geometry
# formation energy from the elements = 0.142 eV/atom
# E_tot = -5.40 eV per atom
# E above lowest polymorph = 0.000 eV/atom
data_BeCrAu
_chemical_formula_sum 'Be4 Cr4 Au4'
_space_group_name_H-M_alt 'C m c m'
_space_group_IT_number 63
_space_group_name_Hall '-C 2c 2'
_cell_length_a 2.8788
_cell_length_b 15.1372
_cell_length_c 3.4684
_cell_angle_alpha 90.00
_cell_angle_beta 90.00
_cell_angle_gamma 90.00
loop_
_atom_site_label
_atom_site_fract_x
_atom_site_fract_y
_atom_site_fract_z
Be1 0.0000 0.0457 0.2500
Cr1 0.0000 0.2189 0.2500
Au1 0.0000 0.3994 0.2500

# GGA-PBE BeCrAu2, optimized geometry
# formation energy from the elements = 0.112 eV/atom
# E_tot = -4.86 eV per atom
# E above lowest polymorph = 0.062 eV/atom
data_BeCrAu2
_chemical_formula_sum 'Be4 Cr4 Au8'
_space_group_name_H-M_alt 'F m -3 m'
_space_group_IT_number 225
_space_group_name_Hall '-F 4 2 3'
_cell_length_a 6.2302
_cell_length_b 6.2302
_cell_length_c 6.2302
_cell_angle_alpha 90.00
_cell_angle_beta 90.00
_cell_angle_gamma 90.00
loop_
_atom_site_label
_atom_site_fract_x
_atom_site_fract_y
_atom_site_fract_z
Be1 0.0000 0.0000 0.0000
Cr1 0.0000 0.0000 0.5000
Au1 0.2500 0.2500 0.2500